1.
This record from Alexandria describes a geometry-optimized Li2TcP structure. The functional is GGA-PBE.

Crystal system   monoclinic
Magnetization   0.002 μB/cell
DFT total energy   -40.304 eV/cell

Cell lengths 4.6802, 8.9959, 2.6828 Å; angles 90.00, 108.95, 90.00 degrees
With the nearest neighbours (Å) after each atom.
Space group C2/m (No. 12)
One atom of each set of equivalent atoms:
Li 0.2500 0.2500 0.0000  2 Li 2.34
Tc 0.0000 0.0000 0.5000  2 P 2.34
P 0.0000 0.5000 0.5000  2 Tc 2.34



2.
This record from Alexandria describes a geometry-optimized LiTc3P structure. The functional is GGA-PBE.

Crystal system   cubic
Magnetization   0.000 μB/cell
DFT total energy   -35.669 eV/cell
Relative energy among the computed polymorphs   0 kJ/mol of formula units

Cell lengths 4.3899, 4.3899, 4.3899 Å; angles 90.00, 90.00, 90.00 degrees
With the nearest neighbours (Å) after each atom.
Space group Pm-3m (No. 221)
One atom of each set of equivalent atoms:
Li 0.0000 0.0000 0.0000  12 Tc 3.10
Tc 0.0000 0.5000 0.5000  2 P 2.19
P 0.5000 0.5000 0.5000  6 Tc 2.19



3.
This record from Alexandria describes a geometry-optimized LiTcP4 structure. The functional is GGA-PBE.

Crystal system   cubic
Magnetization   3.815 μB/cell
DFT total energy   -123.032 eV/cell

Cell lengths 6.9957, 6.9957, 6.9957 Å; angles 90.00, 90.00, 90.00 degrees
With the nearest neighbours (Å) after each atom.
Space group F-43m (No. 216)
One atom of each set of equivalent atoms:
Li 0.0000 0.0000 0.0000  12 P 2.90, 4 Tc 3.03
Tc 0.2500 0.2500 0.7500  12 P 2.90, 4 Li 3.03
P 0.1244 0.1244 0.3756  6 P 2.46-2.49



4.
This record from Alexandria describes a geometry-optimized Li2TcP structure. The functional is GGA-PBE.

Crystal system   cubic
Magnetization   0.006 μB/cell
DFT total energy   -82.146 eV/cell

Cell lengths 5.7670, 5.7670, 5.7670 Å; angles 90.00, 90.00, 90.00 degrees
With the nearest neighbours (Å) after each atom.
Space group F-43m (No. 216)
One atom of each set of equivalent atoms:
Li 0.0000 0.0000 0.0000  4 Li 2.50, 4 P 2.50
Li 0.2500 0.2500 0.2500  4 Li 2.50, 4 Tc 2.50
Tc 0.0000 0.0000 0.5000  4 Li 2.50, 4 P 2.50
P 0.2500 0.2500 0.7500  4 Li 2.50, 4 Tc 2.50



no.,DFT formation energy (eV per atom)
1,-0.14
2,0.55
3,0.53
4,-0.23